Lu2TlN | PBE | relaxed

Lattice parameters (Å, degrees): 3.4415 3.4415 15.3206 90.00 90.00 120.00
Closest atoms and distances in Å follow each position.
Space group P6_3/mmc (No. 194)
Unique sites:
Lu: 0.3333 0.6667 0.0838 (multiplicity 4)  3 N 2.37
Tl: 0.3333 0.6667 0.7500 (multiplicity 2)  6 Lu 3.23, 6 Tl 3.44
N: 0.0000 0.0000 0.0000 (multiplicity 2)  6 Lu 2.37

Calculated values
volume = 19.6 A^3/atom
E = -5.981 eV/atom
mass density = 12.0 g/cm3